Density functional theory data (PBE-GGA) for a relaxed structure of Rb2PSe4.

Cell: 12.058 10.894 10.894 Å, 89.75 90.00 90.00°
Each line ends with the local moment (μB).
Atoms (fractional coordinates):
Se1 0.851 0.331 0.000  0.09
Se2 0.148 0.669 0.000  0.09
Se3 0.149 0.000 0.669  0.09
Se4 0.648 0.500 0.831  0.09
Se5 0.852 0.000 0.331  0.09
Se6 0.148 0.331 0.000  0.09
Se7 0.351 0.500 0.169  0.09
Se8 0.352 0.169 0.500  0.09
Se9 0.649 0.831 0.500  0.09
Se10 0.852 0.000 0.669  0.09
Se11 0.352 0.831 0.500  0.09
Se12 0.351 0.500 0.831  0.09
Se13 0.851 0.669 0.000  0.09
Se14 0.648 0.500 0.169  0.09
Se15 0.649 0.169 0.500  0.09
Se16 0.149 0.000 0.331  0.09
Rb1 0.000 0.735 0.735  0.00
Rb2 0.500 0.765 0.765  0.00
Rb3 0.500 0.763 0.237  0.00
Rb4 0.000 0.737 0.263  0.00
Rb5 0.500 0.237 0.763  0.00
Rb6 0.000 0.265 0.265  0.00
Rb7 0.500 0.235 0.235  0.00
Rb8 0.000 0.263 0.737  0.00
P1 0.250 0.000 0.500  -0.01
P2 0.750 0.000 0.500  -0.01
P3 0.750 0.500 0.000  -0.01
P4 0.250 0.500 0.000  -0.01

Calculated values
E_form (uncorrected): -0.491 eV per atom
DOS at the Fermi energy: 19.83 states/eV/cell